No. 1
DFT (PBE) results for a geometry-optimized Li2Ag4Bi3 structure.

Output
Formation energy from the elements = -59 kJ/mol of formula units

Geometry as POSCAR:
```
Li2Ag4Bi3
1.0
4.7971 -2.3843 0.0000
4.7971 2.3843 0.0000
-2.0573 0.0000 8.7920
Li Ag Bi
2 4 3
direct
0.2174 0.2174 0.2527
0.7826 0.7826 0.7473
0.1991 0.1991 0.5752
0.4435 0.4435 0.8324
0.5565 0.5565 0.1676
0.8009 0.8009 0.4248
0.1422 0.1422 0.8926
0.5000 0.5000 0.5000
0.8578 0.8578 0.1074
```

No. 2
DFT (PBE) results for a geometry-optimized Li2Ag2Bi structure.

Output
E above lowest polymorph = 0 meV per atom
Formation energy from the elements = -128 kJ/mol of formula units

Geometry as POSCAR:
```
Li2Ag2Bi
1.0
5.1581 0.0000 0.0000
0.0000 4.8567 0.0000
-2.5135 0.0000 7.6426
Li Ag Bi
4 4 2
direct
0.1363 0.2500 0.0983
0.3081 0.2500 0.5080
0.6919 0.7500 0.4920
0.8637 0.7500 0.9017
0.2800 0.7500 0.7136
0.4828 0.7500 0.0952
0.5172 0.2500 0.9048
0.7200 0.2500 0.2864
0.1049 0.7500 0.3056
0.8951 0.2500 0.6944
```

No. 3
DFT (PBE) results for a geometry-optimized Li2Ag2Bi structure.

Output
E above lowest polymorph = 58 meV per atom
Formation energy from the elements = -100 kJ/mol of formula units

Geometry as POSCAR:
```
Li2Ag2Bi
1.0
7.6445 0.0000 0.0000
0.0000 7.6445 0.0000
0.0000 0.0000 3.3937
Li Ag Bi
4 4 2
direct
0.1658 0.3342 0.0000
0.3342 0.8342 0.0000
0.6658 0.1658 0.0000
0.8342 0.6658 0.0000
0.1283 0.6283 0.5000
0.3717 0.1283 0.5000
0.6283 0.8717 0.5000
0.8717 0.3717 0.5000
0.0000 0.0000 0.5000
0.5000 0.5000 0.5000
```

No. 4
DFT (PBE) results for a geometry-optimized Li4Ag3Bi structure.

Output
Formation energy from the elements = -213 kJ/mol of formula units

Geometry as POSCAR:
```
Li4Ag3Bi
1.0
2.3088 1.3330 7.5840
-2.3088 1.3330 7.5840
0.0000 -2.6660 7.5840
Li Ag Bi
4 3 1
direct
0.1213 0.1213 0.1213
0.3716 0.3716 0.3716
0.6284 0.6284 0.6284
0.8787 0.8787 0.8787
0.0000 0.0000 0.0000
0.2530 0.2530 0.2530
0.7470 0.7470 0.7470
0.5000 0.5000 0.5000
```

No. 5
DFT (PBE) results for a geometry-optimized Li4AgBi3 structure.

Output
Formation energy from the elements = -269 kJ/mol of formula units

Geometry as POSCAR:
```
Li4AgBi3
1.0
10.0324 0.0000 0.0000
0.0000 6.7946 0.0000
0.0000 0.0000 5.0642
Li Ag Bi
8 2 6
direct
0.0000 0.2391 0.0000
0.0000 0.7609 0.0000
0.2500 0.2398 0.4354
0.2500 0.7602 0.4354
0.5000 0.2391 0.0000
0.5000 0.7609 0.0000
0.7500 0.2398 0.5646
0.7500 0.7602 0.5646
0.0000 0.0000 0.5000
0.5000 0.0000 0.5000
0.0000 0.5000 0.5000
0.2500 0.0000 0.9283
0.2500 0.5000 0.9473
0.5000 0.5000 0.5000
0.7500 0.0000 0.0717
0.7500 0.5000 0.0527
```

No. 6
DFT (PBE) results for a geometry-optimized Li6Ag8Bi structure.

Output
Formation energy from the elements = -156 kJ/mol of formula units

Geometry as POSCAR:
```
Li6Ag8Bi
1.0
3.8914 2.2467 5.3254
-3.8914 2.2467 5.3254
0.0000 -4.4934 5.3254
Li Ag Bi
6 8 1
direct
0.1215 0.3749 0.6297
0.3703 0.8785 0.6251
0.3749 0.6297 0.1215
0.6251 0.3703 0.8785
0.6297 0.1215 0.3749
0.8785 0.6251 0.3703
0.1405 0.8180 0.4264
0.1820 0.5736 0.8595
0.2424 0.2424 0.2424
0.4264 0.1405 0.8180
0.5736 0.8595 0.1820
0.7576 0.7576 0.7576
0.8180 0.4264 0.1405
0.8595 0.1820 0.5736
0.0000 0.0000 0.0000
```

No. 7
DFT (PBE) results for a geometry-optimized Li3Ag4Bi structure.

Output
E above lowest polymorph = 64 meV per atom
Formation energy from the elements = -113 kJ/mol of formula units

Geometry as POSCAR:
```
Li3Ag4Bi
1.0
18.4876 0.0000 0.0000
0.0000 4.4672 0.0000
-0.6965 0.0000 3.5554
Li Ag Bi
6 8 2
direct
0.0000 0.0000 0.0000
0.2495 0.0000 0.2495
0.2505 0.5000 0.7505
0.5000 0.5000 0.0000
0.7495 0.5000 0.2495
0.7505 0.0000 0.7505
0.1344 0.0000 0.6354
0.1391 0.5000 0.1396
0.3609 0.0000 0.8604
0.3656 0.5000 0.3646
0.6344 0.5000 0.6354
0.6391 0.0000 0.1396
0.8609 0.5000 0.8604
0.8656 0.0000 0.3646
0.0000 0.5000 0.5000
0.5000 0.0000 0.5000
```

No. 8
DFT (PBE) results for a geometry-optimized LiAgBi2 structure.

Output
E above lowest polymorph = 0 meV per atom
Formation energy from the elements = -53 kJ/mol of formula units

Geometry as POSCAR:
```
LiAgBi2
1.0
4.7682 0.0000 0.0000
0.0000 4.7682 0.0000
0.0000 0.0000 4.3077
Li Ag Bi
1 1 2
direct
0.0000 0.0000 0.0000
0.5000 0.5000 0.0000
0.0000 0.5000 0.5000
0.5000 0.0000 0.5000
```

No. 9
DFT (PBE) results for a geometry-optimized Li2AgBi2 structure.

Output
E above lowest polymorph = 284 meV per atom
Formation energy from the elements = 21 kJ/mol of formula units

Geometry as POSCAR:
```
Li2AgBi2
1.0
4.4109 0.0000 0.0000
0.0000 4.4109 0.0000
0.0000 0.0000 12.8003
Li Ag Bi
4 2 4
direct
0.0000 0.5000 0.2500
0.0000 0.5000 0.7500
0.5000 0.0000 0.2500
0.5000 0.0000 0.7500
0.0000 0.0000 0.0000
0.5000 0.5000 0.5000
0.0000 0.0000 0.3872
0.0000 0.0000 0.6128
0.5000 0.5000 0.1128
0.5000 0.5000 0.8872
```

No. 10
DFT (PBE) results for a geometry-optimized Li4Ag2Bi structure.

Output
Formation energy from the elements = 35 kJ/mol of formula units

Geometry as POSCAR:
```
Li4Ag2Bi
1.0
5.1452 0.0000 0.0000
0.0000 5.1452 0.0000
0.0000 0.0000 13.6390
Li Ag Bi
8 4 2
direct
0.0000 0.0000 0.1996
0.0000 0.0000 0.8004
0.0000 0.5000 0.0000
0.0000 0.5000 0.5000
0.5000 0.0000 0.0000
0.5000 0.0000 0.5000
0.5000 0.5000 0.3004
0.5000 0.5000 0.6996
0.0000 0.0000 0.3962
0.0000 0.0000 0.6038
0.5000 0.5000 0.1038
0.5000 0.5000 0.8962
0.0000 0.0000 0.0000
0.5000 0.5000 0.5000
```

No. 11
DFT (PBE) results for a geometry-optimized Li6Ag5Bi structure.

Output
Formation energy from the elements = -286 kJ/mol of formula units

Geometry as POSCAR:
```
Li6Ag5Bi
1.0
4.1604 -6.5654 0.0000
4.1604 6.5654 0.0000
-2.3252 0.0000 3.7511
Li Ag Bi
6 5 1
direct
0.0744 0.4101 0.7428
0.2371 0.2371 0.2380
0.4101 0.0744 0.7428
0.5899 0.9256 0.2572
0.7629 0.7629 0.7620
0.9256 0.5899 0.2572
0.0000 0.0000 0.5000
0.1683 0.8317 0.0000
0.3293 0.6707 0.5000
0.6707 0.3293 0.5000
0.8317 0.1683 0.0000
0.5000 0.5000 0.0000
```

No. 12
DFT (PBE) results for a geometry-optimized Li4AgBi2 structure.

Output
E above lowest polymorph = 0 meV per atom
Formation energy from the elements = -241 kJ/mol of formula units

Geometry as POSCAR:
```
Li4AgBi2
1.0
4.6970 0.0000 0.0000
0.0000 4.6970 0.0000
0.0000 0.0000 6.7038
Li Ag Bi
4 1 2
direct
0.0000 0.5000 0.2292
0.0000 0.5000 0.7708
0.5000 0.0000 0.2292
0.5000 0.0000 0.7708
0.0000 0.0000 0.5000
0.0000 0.0000 0.0000
0.5000 0.5000 0.5000
```